# VFeSi

A relaxed VFeSi crystal (GGA-PBE, Alexandria).

abc: 2.7700 2.7700 9.0523
angles: 90.00 90.00 90.00
Space group I4mm (No. 107)
Asymmetric unit:
V  0.0000  0.0000  0.0000 [2 per cell]
Fe  0.0000  0.0000  0.3294 [2 per cell]
Si  0.0000  0.0000  0.6835 [2 per cell]

Summary:
Size of the total moment   0.0 μB/f.u.
Density of states at the Fermi level   5.6 states/eV/cell
Uncorrected energy   -8.0528 eV/atom